# 1
A plane-wave DFT calculation with GGA-PBEsol was carried out for an optimized crystal structure of CuNi2W.

Computed properties:
DFT formation energy   0.190 eV/atom
E above lowest polymorph   196.4 meV/atom
Raw total energy   -7.42 eV per atom
Space group   P4/mmm (123)

a b c (Å): 4.293 4.293 2.630
angles (deg): 90.00 90.00 90.00
Fractional coordinates of all 4 atoms:
1 Cu 0.000 0.000 0.000
2 Ni 0.000 0.500 0.500
3 Ni 0.500 0.000 0.500
4 W 0.500 0.500 0.000



# 2
A plane-wave DFT calculation with GGA-PBEsol was carried out for an optimized crystal structure of CaIn2OsBr.

Computed properties:
Raw total energy   -4.55 eV per atom
Uncorrected formation energy   -111.0 meV/atom
Space group   P4/mmm (123)

a b c (Å): 5.085 5.085 5.517
angles (deg): 90.00 90.00 90.00
Fractional coordinates of all 5 atoms:
1 Ca 0.000 0.000 0.000
2 In 0.000 0.500 0.500
3 In 0.500 0.000 0.500
4 Os 0.000 0.000 0.500
5 Br 0.500 0.500 0.000



# 3
A plane-wave DFT calculation with GGA-PBEsol was carried out for an optimized crystal structure of Au5C.

Computed properties:
DFT formation energy   0.780 eV/atom
E above lowest polymorph   0.0 meV/atom
Raw total energy   -4.10 eV per atom
Space group   P4/mmm (123)

a b c (Å): 2.891 2.891 11.028
angles (deg): 90.00 90.00 90.00
Fractional coordinates of all 6 atoms:
1 Au 0.000 0.000 0.000
2 Au 0.000 0.000 0.372
3 Au 0.000 0.000 0.628
4 Au 0.500 0.500 0.185
5 Au 0.500 0.500 0.815
6 C 0.500 0.500 0.500



# 4
A plane-wave DFT calculation with GGA-PBEsol was carried out for an optimized crystal structure of LiCuNi2.

Computed properties:
DFT formation energy   0.066 eV/atom
Raw total energy   -4.59 eV per atom
Space group   I4/mmm (139)

a b c (Å): 4.324 4.324 4.324
angles (deg): 132.94 132.94 68.75
Fractional coordinates of all 4 atoms:
1 Li 0.000 0.000 0.000
2 Cu 0.500 0.500 0.000
3 Ni 0.250 0.750 0.500
4 Ni 0.750 0.250 0.500



# 5
A plane-wave DFT calculation with GGA-PBEsol was carried out for an optimized crystal structure of Cd2InPb.

Computed properties:
DFT formation energy   0.081 eV/atom
E above lowest polymorph   43.1 meV/atom
Raw total energy   -2.26 eV per atom
Space group   P4/mmm (123)

a b c (Å): 5.181 5.181 3.704
angles (deg): 90.00 90.00 90.00
Fractional coordinates of all 4 atoms:
1 Cd 0.000 0.500 0.000
2 Cd 0.500 0.000 0.000
3 In 0.000 0.000 0.500
4 Pb 0.500 0.500 0.500



# 6
A plane-wave DFT calculation with GGA-PBEsol was carried out for an optimized crystal structure of CoIr2Pt.

Computed properties:
DFT formation energy   0.027 eV/atom
E above lowest polymorph   9.8 meV/atom
Raw total energy   -8.56 eV per atom
Space group   Pmm2 (25)

a b c (Å): 2.691 3.749 5.337
angles (deg): 90.00 90.00 90.00
Fractional coordinates of all 4 atoms:
1 Co 0.000 0.000 0.000
2 Ir 0.000 0.000 0.484
3 Ir 0.500 0.500 0.242
4 Pt 0.500 0.500 0.754